Density functional theory data (PBE) for a relaxed structure of Ce2Al3Zn6.

Formation enthalpy at 0 K: -158 meV per atom
Electronic total energy: -2.95 eV per atom
Size of the total moment: 0.17 μB per atom

Structure (CIF):
```
data_Ce2Al3Zn6
_chemical_formula_sum 'Ce4 Al6 Zn12'
_symmetry_space_group_name_H-M 'C m m m'
_symmetry_Int_Tables_number 65
_symmetry_space_group_name_Hall '-C 2 2'
_cell_length_a 9.9769
_cell_length_b 10.8170
_cell_length_c 4.0521
_cell_angle_alpha 90.00
_cell_angle_beta 90.00
_cell_angle_gamma 90.00
loop_
_atom_site_label
_atom_site_type_symbol
_atom_site_fract_x
_atom_site_fract_y
_atom_site_fract_z
Ce1 Ce 0.0000 0.2171 0.0000
Al1 Al 0.0000 0.5000 0.5000
Al2 Al 0.2062 0.5000 0.0000
Zn1 Zn 0.1160 0.0000 0.5000
Zn2 Zn 0.1972 0.3474 0.5000
```


Density functional theory data (PBE) for a relaxed structure of Ce6AlZn2.

Formation enthalpy at 0 K: -134 meV per atom
Electronic total energy: -4.79 eV per atom
Size of the total moment: 0.13 μB per atom

Structure (CIF):
```
data_Ce6AlZn2
_chemical_formula_sum 'Ce6 Al1 Zn2'
_symmetry_space_group_name_H-M 'P 6/m m m'
_symmetry_Int_Tables_number 191
_symmetry_space_group_name_Hall '-P 6 2'
_cell_length_a 8.8487
_cell_length_b 8.8487
_cell_length_c 2.9170
_cell_angle_alpha 90.00
_cell_angle_beta 90.00
_cell_angle_gamma 120.00
loop_
_atom_site_label
_atom_site_type_symbol
_atom_site_fract_x
_atom_site_fract_y
_atom_site_fract_z
Ce1 Ce 0.0000 0.3354 0.0000
Al1 Al 0.0000 0.0000 0.5000
Zn1 Zn 0.3333 0.6667 0.5000
```


Density functional theory data (PBE) for a relaxed structure of Ce3Al9Zn2.

Formation enthalpy at 0 K: -347 meV per atom
Electronic total energy: -4.21 eV per atom
Size of the total moment: 0.14 μB per atom

Structure (CIF):
```
data_Ce3Al9Zn2
_chemical_formula_sum 'Ce6 Al18 Zn4'
_symmetry_space_group_name_H-M 'I m m m'
_symmetry_Int_Tables_number 71
_symmetry_space_group_name_Hall '-I 2 2'
_cell_length_a 4.3480
_cell_length_b 10.0592
_cell_length_c 12.6652
_cell_angle_alpha 90.00
_cell_angle_beta 90.00
_cell_angle_gamma 90.00
loop_
_atom_site_label
_atom_site_type_symbol
_atom_site_fract_x
_atom_site_fract_y
_atom_site_fract_z
Ce1 Ce 0.0000 0.0000 0.0000
Ce2 Ce 0.0000 0.0000 0.3126
Al1 Al 0.0000 0.2773 0.1358
Al2 Al 0.0000 0.3693 0.3397
Al3 Al 0.0000 0.5000 0.0000
Zn1 Zn 0.0000 0.2094 0.5000
```


Density functional theory data (PBE) for a relaxed structure of Ce3Al4Zn2.

Formation enthalpy at 0 K: -357 meV per atom
Electronic total energy: -4.28 eV per atom
ΔE to the lowest computed polymorph: 0.003 eV per atom
Size of the total moment: 0.25 μB per atom

Structure (CIF):
```
data_Ce3Al4Zn2
_chemical_formula_sum 'Ce6 Al8 Zn4'
_symmetry_space_group_name_H-M 'P 3 m 1'
_symmetry_Int_Tables_number 156
_cell_length_a 4.6340
_cell_length_b 4.6340
_cell_length_c 20.7939
_cell_angle_alpha 90.00
_cell_angle_beta 90.00
_cell_angle_gamma 120.00
loop_
_symmetry_equiv_pos_as_xyz
'x,y,z'
'-y,x-y,z'
'-x+y,-x,z'
'-y,-x,z'
'-x+y,y,z'
'x,x-y,z'
loop_
_atom_site_label
_atom_site_type_symbol
_atom_site_fract_x
_atom_site_fract_y
_atom_site_fract_z
Ce1 Ce 0.0000 0.0000 0.0000
Ce2 Ce 0.0000 0.0000 0.1460
Ce3 Ce 0.0000 0.0000 0.3209
Ce4 Ce 0.0000 0.0000 0.4871
Ce5 Ce 0.0000 0.0000 0.6591
Ce6 Ce 0.0000 0.0000 0.8255
Al1 Al 0.3333 0.6667 0.2403
Al2 Al 0.3333 0.6667 0.4032
Al3 Al 0.3333 0.6667 0.5756
Al4 Al 0.3333 0.6667 0.7394
Al5 Al 0.3333 0.6667 0.9135
Al6 Al 0.6667 0.3333 0.2291
Al7 Al 0.6667 0.3333 0.5689
Al8 Al 0.6667 0.3333 0.9078
Zn1 Zn 0.3333 0.6667 0.0679
Zn2 Zn 0.6667 0.3333 0.0785
Zn3 Zn 0.6667 0.3333 0.4114
Zn4 Zn 0.6667 0.3333 0.7457
```


Density functional theory data (PBE) for a relaxed structure of CeAlZn.

Formation enthalpy at 0 K: -185 meV per atom
Electronic total energy: -3.83 eV per atom
Size of the total moment: 0.13 μB per atom

Structure (CIF):
```
data_CeAlZn
_chemical_formula_sum 'Ce2 Al2 Zn2'
_symmetry_space_group_name_H-M 'I 4 m m'
_symmetry_Int_Tables_number 107
_symmetry_space_group_name_Hall 'I 4 -2'
_cell_length_a 3.0784
_cell_length_b 3.0784
_cell_length_c 12.5565
_cell_angle_alpha 90.00
_cell_angle_beta 90.00
_cell_angle_gamma 90.00
loop_
_atom_site_label
_atom_site_type_symbol
_atom_site_fract_x
_atom_site_fract_y
_atom_site_fract_z
Ce1 Ce 0.0000 0.0000 0.0000
Al1 Al 0.0000 0.0000 0.6841
Zn1 Zn 0.0000 0.0000 0.3162
```


Density functional theory data (PBE) for a relaxed structure of Ce3Al2Zn4.

Formation enthalpy at 0 K: -320 meV per atom
Electronic total energy: -3.70 eV per atom
Size of the total moment: 0.25 μB per atom

Structure (CIF):
```
data_Ce3Al2Zn4
_chemical_formula_sum 'Ce6 Al4 Zn8'
_symmetry_space_group_name_H-M 'P 3 m 1'
_symmetry_Int_Tables_number 156
_cell_length_a 4.6796
_cell_length_b 4.6796
_cell_length_c 19.6471
_cell_angle_alpha 90.00
_cell_angle_beta 90.00
_cell_angle_gamma 120.00
loop_
_symmetry_equiv_pos_as_xyz
'x,y,z'
'-y,x-y,z'
'-x+y,-x,z'
'-y,-x,z'
'-x+y,y,z'
'x,x-y,z'
loop_
_atom_site_label
_atom_site_type_symbol
_atom_site_fract_x
_atom_site_fract_y
_atom_site_fract_z
Ce1 Ce 0.0000 0.0000 0.0000
Ce2 Ce 0.0000 0.0000 0.1502
Ce3 Ce 0.0000 0.0000 0.3320
Ce4 Ce 0.0000 0.0000 0.4832
Ce5 Ce 0.0000 0.0000 0.6670
Ce6 Ce 0.0000 0.0000 0.8181
Al1 Al 0.3333 0.6667 0.5750
Al2 Al 0.6667 0.3333 0.2417
Al3 Al 0.6667 0.3333 0.5752
Al4 Al 0.6667 0.3333 0.9087
Zn1 Zn 0.3333 0.6667 0.0753
Zn2 Zn 0.3333 0.6667 0.2394
Zn3 Zn 0.3333 0.6667 0.4107
Zn4 Zn 0.3333 0.6667 0.7399
Zn5 Zn 0.3333 0.6667 0.9104
Zn6 Zn 0.6667 0.3333 0.0750
Zn7 Zn 0.6667 0.3333 0.4057
Zn8 Zn 0.6667 0.3333 0.7443
```


Density functional theory data (PBE) for a relaxed structure of Ce3Al4Zn2.

Formation enthalpy at 0 K: -360 meV per atom
Electronic total energy: -4.28 eV per atom
ΔE to the lowest computed polymorph: 0.000 eV per atom
Size of the total moment: 0.22 μB per atom

Structure (CIF):
```
data_Ce3Al4Zn2
_chemical_formula_sum 'Ce6 Al8 Zn4'
_symmetry_space_group_name_H-M 'C 1 2/m 1'
_symmetry_Int_Tables_number 12
_cell_length_a 10.6827
_cell_length_b 4.6088
_cell_length_c 8.6892
_cell_angle_alpha 90.00
_cell_angle_beta 114.29
_cell_angle_gamma 90.00
loop_
_symmetry_equiv_pos_as_xyz
'x,y,z'
'-x,-y,-z'
'-x,y,-z'
'x,-y,z'
'x+1/2,y+1/2,z'
'-x+1/2,-y+1/2,-z'
'-x+1/2,y+1/2,-z'
'x+1/2,-y+1/2,z'
loop_
_atom_site_label
_atom_site_type_symbol
_atom_site_fract_x
_atom_site_fract_y
_atom_site_fract_z
Ce1 Ce 0.0000 0.0000 0.0000
Ce2 Ce 0.1753 0.5000 0.6619
Al1 Al 0.0350 0.0000 0.3716
Al2 Al 0.2229 0.5000 0.0585
Zn1 Zn 0.0889 0.5000 0.2595
```


Density functional theory data (PBE) for a relaxed structure of CeAlZn.

Formation enthalpy at 0 K: -338 meV per atom
Electronic total energy: -3.99 eV per atom
Size of the total moment: 0.20 μB per atom

Structure (CIF):
```
data_CeAlZn
_chemical_formula_sum 'Ce1 Al1 Zn1'
_symmetry_space_group_name_H-M 'P -6 m 2'
_symmetry_Int_Tables_number 187
_symmetry_space_group_name_Hall 'P -6 2'
_cell_length_a 4.6180
_cell_length_b 4.6180
_cell_length_c 3.4514
_cell_angle_alpha 90.00
_cell_angle_beta 90.00
_cell_angle_gamma 120.00
loop_
_atom_site_label
_atom_site_type_symbol
_atom_site_fract_x
_atom_site_fract_y
_atom_site_fract_z
Ce1 Ce 0.0000 0.0000 0.0000
Al1 Al 0.3333 0.6667 0.5000
Zn1 Zn 0.6667 0.3333 0.5000
```


Density functional theory data (PBE) for a relaxed structure of CeAlZn.

Formation enthalpy at 0 K: -208 meV per atom
Electronic total energy: -3.86 eV per atom
Size of the total moment: 0.27 μB per atom

Structure (CIF):
```
data_CeAlZn
_chemical_formula_sum 'Ce4 Al4 Zn4'
_symmetry_space_group_name_H-M 'F -4 3 m'
_symmetry_Int_Tables_number 216
_symmetry_space_group_name_Hall 'F -4 2 3'
_cell_length_a 6.5669
_cell_length_b 6.5669
_cell_length_c 6.5669
_cell_angle_alpha 90.00
_cell_angle_beta 90.00
_cell_angle_gamma 90.00
loop_
_atom_site_label
_atom_site_type_symbol
_atom_site_fract_x
_atom_site_fract_y
_atom_site_fract_z
Ce1 Ce 0.0000 0.0000 0.0000
Al1 Al 0.0000 0.0000 0.5000
Zn1 Zn 0.2500 0.2500 0.7500
```


Density functional theory data (PBE) for a relaxed structure of CeAlZn17.

Formation enthalpy at 0 K: -76 meV per atom
Electronic total energy: -1.73 eV per atom
Size of the total moment: 0.04 μB per atom

Structure (CIF):
```
data_CeAlZn17
_chemical_formula_sum 'Ce3 Al3 Zn51'
_symmetry_space_group_name_H-M 'R 3 m'
_symmetry_Int_Tables_number 160
_symmetry_space_group_name_Hall 'R 3 -2"'
_cell_length_a 8.9443
_cell_length_b 8.9443
_cell_length_c 13.4349
_cell_angle_alpha 90.00
_cell_angle_beta 90.00
_cell_angle_gamma 120.00
loop_
_atom_site_label
_atom_site_type_symbol
_atom_site_fract_x
_atom_site_fract_y
_atom_site_fract_z
Ce1 Ce 0.0000 0.0000 0.0000
Al1 Al 0.0000 0.0000 0.2503
Zn1 Zn 0.0000 0.0000 0.5643
Zn2 Zn 0.0000 0.0000 0.7597
Zn3 Zn 0.0006 0.5003 0.8198
Zn4 Zn 0.0218 0.3344 0.3320
Zn5 Zn 0.1676 0.3351 0.8323
Zn6 Zn 0.1705 0.3410 0.5083
```